No. 1
A relaxed Nd3AuO crystal. Source: Alexandria via LeMat-Bulk, functional PBE-GGA.

Cell lengths 4.913, 4.913, 4.913 Å; angles 90.00, 90.00, 90.00 degrees
Fractional coordinates of all 5 atoms:
1 O 0.000 0.000 0.000
2 Nd 0.500 0.000 0.000
3 Nd 0.000 0.000 0.500
4 Nd 0.000 0.500 0.000
5 Au 0.500 0.500 0.500

Results
The value obtained for the magnetic moment is 0.0000 μB/atom. The density of states at the Fermi level comes out at 5.0 states/eV per cell. For the formation energy (no corrections), the calculation gives -1.351 eV/atom. The calculation puts the total energy at -5.859 eV per atom. The crystal system is cubic.

No. 2
A relaxed Nd6Au3O crystal. Source: Alexandria via LeMat-Bulk, functional PBE-GGA.

Cell lengths 6.672, 7.827, 10.381 Å; angles 90.00, 89.58, 90.00 degrees
Fractional coordinates of all 20 atoms:
1 Nd 0.321 0.843 0.058
2 Nd 0.856 0.712 0.933
3 Nd 0.155 0.044 0.769
4 Nd 0.356 0.788 0.433
5 Nd 0.655 0.456 0.269
6 Nd 0.679 0.157 0.942
7 Nd 0.821 0.657 0.558
8 Nd 0.179 0.343 0.442
9 Nd 0.144 0.288 0.067
10 Nd 0.345 0.544 0.731
11 Nd 0.644 0.212 0.567
12 Nd 0.845 0.956 0.231
13 Au 0.928 0.391 0.766
14 Au 0.072 0.609 0.234
15 Au 0.572 0.891 0.734
16 Au 0.428 0.109 0.266
17 Au 0.500 0.500 0.000
18 Au 0.000 0.000 0.500
19 O 0.500 0.500 0.500
20 O 0.000 0.000 0.000

Results
The value obtained for the magnetic moment is 0.0000 μB/atom. The density of states at the Fermi level comes out at 21.7 states/eV per cell. For the formation energy (no corrections), the calculation gives -0.965 eV/atom. The calculation puts the total energy at -5.304 eV per atom. The crystal system is monoclinic.